A plane-wave DFT calculation with GGA-PBE was carried out for crystalline SiTcSeCl2 at its relaxed geometry.

Cell and atoms, written as extended XYZ:
```
5
Lattice="-1.9885 -2.3871 -4.2116 3.3664 -3.3114 0.2874 -3.0930 -2.8761 3.0905" Properties=species:S:1:pos:R:3 pbc="T T T"
Si -0.8575 -4.2873 -0.4168
Tc 1.6832 -1.6557 0.1437
Se 0.0000 0.0000 0.0000
Cl -1.5465 -1.4381 1.5453
Cl -0.9942 -1.1935 -2.1058
```

## Properties
Symmetry = P4/mmm, No. 123
Total magnetization = 0.31 μB per atom
Volume = 25.915 Å³/atom
Formation energy (no corrections) = 1067 meV per atom
Energy = -3.526 eV/atom